<P>
First-principles (meta-GGA SCAN) data for KOsAu2 at its PBEsol-relaxed geometry, as listed in the Alexandria database.

POSCAR file:
```
KOsAu2
1.0
2.677 0.000 0.000
0.000 5.177 0.000
0.000 0.000 5.177
K Au Os
1 2 1
Direct
0.500 0.000 0.625 K
0.000 0.500 0.626 Au
0.000 0.000 0.125 Au
0.500 0.500 0.125 Os
```

Computed properties:
Total moment ... 0.0 μB per cell
SG ... P4/mmm

***

<Q>
First-principles (meta-GGA SCAN) data for KOsAu2 at its PBEsol-relaxed geometry, as listed in the Alexandria database.

POSCAR file:
```
KOsAu2
1.0
-1.412 2.114 -0.736
-3.135 -2.781 -1.974
-3.588 -0.276 6.087
Au Os K
2 1 1
Direct
0.000 0.000 0.922 Au
0.500 0.500 0.228 Au
0.500 0.500 0.859 Os
0.000 0.000 0.491 K
```

Computed properties:
Total moment ... 0.0 μB per cell
SG ... Pmm2

***

<R>
First-principles (meta-GGA SCAN) data for KOsAu2 at its PBEsol-relaxed geometry, as listed in the Alexandria database.

POSCAR file:
```
KOsAu2
1.0
-0.631 2.507 -0.703
-1.923 -2.797 -3.144
-5.534 -0.168 4.369
Au K Os
2 1 1
Direct
0.761 0.523 0.818 Au
0.239 0.477 0.182 Au
0.000 0.000 0.500 K
0.500 0.000 0.000 Os
```

Computed properties:
Total moment ... 0.0 μB per cell
SG ... C2/m

***

Of them, <Q> has the lowest stability.

***

<P>
First-principles (meta-GGA SCAN) data for KRb3Au at its PBEsol-relaxed geometry, as listed in the Alexandria database.

POSCAR file:
```
KRb3Au
1.0
-1.270 -4.586 4.833
6.424 0.460 2.125
-1.765 4.975 4.257
Au Rb K
1 3 1
Direct
0.000 0.000 0.000 Au
0.000 0.000 0.500 Rb
0.500 0.000 0.000 Rb
0.000 0.500 0.000 Rb
0.500 0.500 0.500 K
```

Computed properties:
Total moment ... 0.5 μB per cell
SG ... Pm-3m

***

<Q>
First-principles (meta-GGA SCAN) data for KRb3Au at its PBEsol-relaxed geometry, as listed in the Alexandria database.

POSCAR file:
```
KRb3Au
1.0
7.509 0.000 0.000
0.000 7.509 0.000
0.000 0.000 7.509
Rb Au K
3 1 1
Direct
0.000 0.000 0.500 Rb
0.500 0.000 0.000 Rb
0.000 0.500 0.000 Rb
0.500 0.500 0.500 Au
0.000 0.000 0.000 K
```

Computed properties:
Total moment ... 0.0 μB per cell
SG ... Pm-3m

***

Of them, <Q> has the lowest stability.

***

<P>
First-principles (meta-GGA SCAN) data for K2RbAu2 at its PBEsol-relaxed geometry, as listed in the Alexandria database.

POSCAR file:
```
K2RbAu2
1.0
-3.491 -0.089 3.695
-2.934 -3.024 -2.845
6.287 -4.033 2.345
Rb Au K
1 2 2
Direct
0.000 0.000 0.000 Rb
0.597 0.597 0.194 Au
0.403 0.403 0.806 Au
0.750 0.250 0.500 K
0.250 0.750 0.500 K
```

Computed properties:
Total moment ... 0.0 μB per cell
SG ... I4/mmm

***

<Q>
First-principles (meta-GGA SCAN) data for K2RbAu2 at its PBEsol-relaxed geometry, as listed in the Alexandria database.

POSCAR file:
```
K2RbAu2
1.0
4.623 0.000 0.000
0.000 8.681 0.000
0.000 0.000 8.681
K Au Rb
4 4 2
Direct
0.500 0.162 0.662 K
0.500 0.662 0.838 K
0.500 0.838 0.338 K
0.500 0.338 0.162 K
0.000 0.115 0.385 Au
0.000 0.615 0.115 Au
0.000 0.885 0.615 Au
0.000 0.385 0.885 Au
0.000 0.000 0.000 Rb
0.000 0.500 0.500 Rb
```

Computed properties:
Total moment ... 0.0 μB per cell
SG ... P4/mbm

***

Of them, <P> has the lowest stability.

***

<P>
First-principles (meta-GGA SCAN) data for KRu2Au at its PBEsol-relaxed geometry, as listed in the Alexandria database.

POSCAR file:
```
KRu2Au
1.0
2.536 0.000 0.000
0.000 5.520 0.045
0.000 -2.692 4.819
Ru K Au
2 1 1
Direct
0.000 0.500 0.000 Ru
0.000 0.000 0.500 Ru
0.500 0.500 0.500 K
0.500 0.000 0.000 Au
```

Computed properties:
Total moment ... 0.0 μB per cell
SG ... Cmmm

***

<Q>
First-principles (meta-GGA SCAN) data for KRu2Au at its PBEsol-relaxed geometry, as listed in the Alexandria database.

POSCAR file:
```
KRu2Au
1.0
4.594 0.000 0.000
2.297 3.978 0.000
2.297 1.326 3.751
Au Ru K
1 2 1
Direct
0.000 0.000 0.000 Au
0.250 0.250 0.250 Ru
0.750 0.750 0.750 Ru
0.500 0.500 0.500 K
```

Computed properties:
Total moment ... 4.3 μB per cell
SG ... Fm-3m

***

<R>
First-principles (meta-GGA SCAN) data for KRu2Au at its PBEsol-relaxed geometry, as listed in the Alexandria database.

POSCAR file:
```
KRu2Au
1.0
-1.734 1.612 -1.379
-2.344 -0.290 2.608
3.160 6.444 3.558
Ru Au K
2 1 1
Direct
0.500 0.500 0.223 Ru
0.000 0.000 0.083 Ru
0.000 0.000 0.443 Au
0.500 0.500 0.752 K
```

Computed properties:
Total moment ... 0.0 μB per cell
SG ... Pmm2

***

Of them, <Q> has the lowest stability.

***

<P>
First-principles (meta-GGA SCAN) data for KSb2Au at its PBEsol-relaxed geometry, as listed in the Alexandria database.

POSCAR file:
```
KSb2Au
1.0
-2.628 1.045 1.782
-2.327 -3.430 -1.421
2.364 -4.025 5.844
Au K Sb
1 1 2
Direct
0.500 0.500 0.000 Au
0.000 0.500 0.500 K
0.499 0.000 0.212 Sb
0.501 0.000 0.788 Sb
```

Computed properties:
Total moment ... 0.0 μB per cell
SG ... Pmmm

***

<Q>
First-principles (meta-GGA SCAN) data for KSb2Au at its PBEsol-relaxed geometry, as listed in the Alexandria database.

POSCAR file:
```
KSb2Au
1.0
3.604 0.040 0.000
-1.130 3.423 0.000
0.000 0.000 8.855
Sb Au K
2 1 1
Direct
0.000 0.000 0.694 Sb
0.000 0.000 0.306 Sb
0.500 0.500 0.500 Au
0.500 0.500 0.000 K
```

Computed properties:
Total moment ... 0.0 μB per cell
SG ... Cmmm

***

Of them, <Q> has the lowest stability.

***

<P>
First-principles (meta-GGA SCAN) data for KScAu2 at its PBEsol-relaxed geometry, as listed in the Alexandria database.

POSCAR file:
```
KScAu2
1.0
3.416 0.000 0.000
0.000 3.416 0.000
0.000 0.000 7.961
K Sc Au
1 1 2
Direct
0.500 0.500 0.000 K
0.500 0.500 0.500 Sc
0.000 0.000 0.316 Au
0.000 0.000 0.684 Au
```

Computed properties:
Total moment ... 0.0 μB per cell
SG ... P4/mmm

***

<Q>
First-principles (meta-GGA SCAN) data for KScAu2 at its PBEsol-relaxed geometry, as listed in the Alexandria database.

POSCAR file:
```
KScAu2
1.0
4.952 0.000 0.000
2.476 4.289 0.053
2.476 1.373 4.064
Au Sc K
2 1 1
Direct
0.750 0.250 0.250 Au
0.250 0.750 0.750 Au
0.000 0.500 0.500 Sc
0.500 0.000 0.000 K
```

Computed properties:
Total moment ... 0.0 μB per cell
SG ... Immm

***

Of them, <Q> has the lowest stability.

***

<P>
First-principles (meta-GGA SCAN) data for KSi2Au at its PBEsol-relaxed geometry, as listed in the Alexandria database.

POSCAR file:
```
KSi2Au
1.0
3.987 0.000 0.000
-1.993 3.698 -0.041
0.000 -2.057 6.418
K Si Au
1 2 1
Direct
0.500 0.000 0.000 K
0.284 0.569 0.373 Si
0.716 0.431 0.627 Si
0.000 0.000 0.500 Au
```

Computed properties:
Total moment ... 0.0 μB per cell
SG ... C2/m

***

<Q>
First-principles (meta-GGA SCAN) data for KSi2Au at its PBEsol-relaxed geometry, as listed in the Alexandria database.

POSCAR file:
```
KSi2Au
1.0
-1.399 4.420 -0.969
-4.477 0.835 -1.299
-2.940 2.253 2.951
Si Au K
2 1 1
Direct
0.750 0.750 0.750 Si
0.250 0.250 0.250 Si
0.000 0.000 0.000 Au
0.500 0.500 0.500 K
```

Computed properties:
Total moment ... 0.0 μB per cell
SG ... Fm-3m

***

<R>
First-principles (meta-GGA SCAN) data for KSi2Au at its PBEsol-relaxed geometry, as listed in the Alexandria database.

POSCAR file:
```
KSi2Au
1.0
3.281 0.000 0.000
0.000 3.281 0.000
0.000 0.000 7.609
Si Au K
2 1 1
Direct
0.000 0.000 0.082 Si
0.500 0.500 0.240 Si
0.000 0.000 0.422 Au
0.500 0.500 0.756 K
```

Computed properties:
Total moment ... 0.0 μB per cell
SG ... P4mm

***

Of them, <Q> has the lowest stability.

***

<P>
First-principles (meta-GGA SCAN) data for KTa2Au at its PBEsol-relaxed geometry, as listed in the Alexandria database.

POSCAR file:
```
KTa2Au
1.0
2.826 0.000 0.000
0.000 5.718 0.000
-1.413 -2.859 5.398
K Au Ta
1 1 2
Direct
0.242 0.742 0.484 K
0.470 0.470 0.940 Au
0.041 0.041 0.083 Ta
0.746 0.246 0.493 Ta
```

Computed properties:
Total moment ... 0.7 μB per cell
SG ... Imm2

***

<Q>
First-principles (meta-GGA SCAN) data for KTa2Au at its PBEsol-relaxed geometry, as listed in the Alexandria database.

POSCAR file:
```
KTa2Au
1.0
-0.968 2.531 1.827
-2.933 -0.083 -1.440
-2.880 -5.568 6.187
Ta Au K
2 1 1
Direct
0.000 0.000 0.087 Ta
0.500 0.500 0.252 Ta
0.000 0.000 0.439 Au
0.500 0.500 0.722 K
```

Computed properties:
Total moment ... 0.0 μB per cell
SG ... P4mm

***

Of them, <P> has the lowest stability.